Version 1
A crystal of MoIrW2 relaxed with PBEsol, computed with meta-GGA SCAN.

abc: 3.9057 3.9057 7.9804
angles: 90.00 90.00 90.00
Closest atoms and distances in Å follow each position.
Atoms (fractional coordinates):
Mo (0.0000, 0.0000, 0.0000)  4 Ir 2.76, 8 W 2.79
Mo (0.5000, 0.5000, 0.5000)  4 Ir 2.76, 8 W 2.79
Ir (0.0000, 0.0000, 0.5000)  4 Mo 2.76, 8 W 2.79
Ir (0.5000, 0.5000, 0.0000)  4 Mo 2.76, 8 W 2.79
W (0.0000, 0.5000, 0.2500)  4 W 2.76, 4 Mo 2.79, 4 Ir 2.79
W (0.0000, 0.5000, 0.7500)  4 W 2.76, 4 Ir 2.79, 4 Mo 2.79
W (0.5000, 0.0000, 0.2500)  4 W 2.76, 4 Mo 2.79, 4 Ir 2.79
W (0.5000, 0.0000, 0.7500)  4 W 2.76, 4 Ir 2.79, 4 Mo 2.79

Calculated values
- theoretical density (Mg/m³) = 17.892



Version 2
A crystal of MoIrW2 relaxed with PBEsol, computed with meta-GGA SCAN.

abc: 2.7538 2.7538 28.0269
angles: 90.00 90.00 120.00
Closest atoms and distances in Å follow each position.
Atoms (fractional coordinates):
Mo (0.0000, 0.0000, 0.0000)  6 Mo 2.75, 6 W 2.90
Mo (0.3333, 0.6667, 0.6667)  6 Mo 2.75, 6 W 2.90
Mo (0.6667, 0.3333, 0.3333)  6 Mo 2.75, 6 W 2.90
Ir (0.0000, 0.0000, 0.5000)  6 W 2.75, 6 Ir 2.75
Ir (0.3333, 0.6667, 0.1667)  6 W 2.75, 6 Ir 2.75
Ir (0.6667, 0.3333, 0.8333)  6 W 2.75, 6 Ir 2.75
W (0.0000, 0.0000, 0.2468)  3 Ir 2.75, 6 W 2.75, 3 Mo 2.90
W (0.0000, 0.0000, 0.7532)  3 Ir 2.75, 6 W 2.75, 3 Mo 2.90
W (0.3333, 0.6667, 0.4199)  3 Ir 2.75, 6 W 2.75, 3 Mo 2.90
W (0.3333, 0.6667, 0.9135)  3 Ir 2.75, 6 W 2.75, 3 Mo 2.90
W (0.6667, 0.3333, 0.0865)  3 Ir 2.75, 6 W 2.75, 3 Mo 2.90
W (0.6667, 0.3333, 0.5801)  3 Ir 2.75, 6 W 2.75, 3 Mo 2.90

Calculated values
- theoretical density (Mg/m³) = 17.750



Version 3
A crystal of MoIrW2 relaxed with PBEsol, computed with meta-GGA SCAN.

abc: 2.7013 4.3765 5.2243
angles: 90.00 99.71 90.00
Closest atoms and distances in Å follow each position.
Atoms (fractional coordinates):
Mo (0.0000, 0.0000, 0.0000)  4 W 2.66, 2 Mo 2.70, 2 Ir 2.73
Ir (0.5000, 0.0000, 0.5000)  2 Ir 2.70, 4 W 2.73, 2 Mo 2.73
W (0.2207, 0.5000, 0.7520)  2 Mo 2.66, 4 W 2.70-2.77, 2 Ir 2.73
W (0.7793, 0.5000, 0.2480)  2 Mo 2.66, 4 W 2.70-2.77, 2 Ir 2.73

Calculated values
- theoretical density (Mg/m³) = 17.889



Best to worst by energy: version 3, version 1, version 2.



Version 1
A crystal of MoIrW2 relaxed with PBEsol, computed with meta-GGA SCAN.

abc: 3.8889 3.8889 8.0508
angles: 90.00 90.00 90.00
Closest atoms and distances in Å follow each position.
Atoms (fractional coordinates):
Mo (0.0000, 0.0000, 0.0000)  8 W 2.75-2.80, 4 Ir 2.80
Mo (0.5000, 0.5000, 0.5000)  8 W 2.75-2.80, 4 Ir 2.80
Ir (0.0000, 0.5000, 0.7500)  8 W 2.75-2.80, 4 Mo 2.80
Ir (0.5000, 0.0000, 0.2500)  8 W 2.75-2.80, 4 Mo 2.80
W (0.0000, 0.0000, 0.5000)  4 Mo 2.75, 4 W 2.80, 4 Ir 2.80
W (0.0000, 0.5000, 0.2500)  4 Ir 2.75, 4 W 2.80, 4 Mo 2.80
W (0.5000, 0.0000, 0.7500)  4 Ir 2.75, 4 Mo 2.80, 4 W 2.80
W (0.5000, 0.5000, 0.0000)  4 Mo 2.75, 4 W 2.80, 4 Ir 2.80

Calculated values
- theoretical density (Mg/m³) = 17.889



Version 2
A crystal of MoIrW2 relaxed with PBEsol, computed with meta-GGA SCAN.

abc: 5.6088 7.8491 2.7577
angles: 90.00 90.00 90.00
Closest atoms and distances in Å follow each position.
Atoms (fractional coordinates):
Mo (0.0000, 0.0000, 0.0000)  2 Mo 2.76, 8 W 2.78, 2 Ir 2.80
Mo (0.5000, 0.5000, 0.0000)  2 Mo 2.76, 8 W 2.78, 2 Ir 2.80
Ir (0.0000, 0.5000, 0.0000)  2 Ir 2.76, 8 W 2.78, 2 Mo 2.80
Ir (0.5000, 0.0000, 0.0000)  2 Ir 2.76, 8 W 2.78, 2 Mo 2.80
W (0.2500, 0.2500, 0.5000)  4 W 2.76-2.80, 4 Mo 2.78, 4 Ir 2.78
W (0.2500, 0.7500, 0.5000)  4 W 2.76-2.80, 4 Ir 2.78, 4 Mo 2.78
W (0.7500, 0.2500, 0.5000)  4 W 2.76-2.80, 4 Mo 2.78, 4 Ir 2.78
W (0.7500, 0.7500, 0.5000)  4 W 2.76-2.80, 4 Mo 2.78, 4 Ir 2.78

Calculated values
- theoretical density (Mg/m³) = 17.941



Version 3
A crystal of MoIrW2 relaxed with PBEsol, computed with meta-GGA SCAN.

abc: 3.1877 3.1877 6.0329
angles: 90.00 90.00 90.00
Closest atoms and distances in Å follow each position.
Atoms (fractional coordinates):
Mo (0.0000, 0.0000, 0.0000)  5 W 2.67-2.96, 4 Ir 2.77
Ir (0.5000, 0.5000, 0.7335)  5 W 2.69-2.99, 4 Mo 2.77
W (0.0000, 0.0000, 0.4907)  4 Ir 2.69, 4 W 2.72, 1 Mo 2.96
W (0.5000, 0.5000, 0.2372)  4 Mo 2.67, 4 W 2.72

Calculated values
- theoretical density (Mg/m³) = 17.765



Best to worst by energy: version 1, version 2, version 3.